Computed, not measured: an optimized crystal structure of SmSnCl2 at the PBE level of DFT.

Formation energy (no corrections)   -825 meV/atom
Final energy   -0.289 Ry/atom

a b c (Å): 3.6434 3.6434 30.9413
angles (deg): 90.00 90.00 120.00
Space group R-3m (No. 166, hexagonal axes)
Asymmetric unit:
Sm: 0.0000 0.0000 0.0000
Sn: 0.0000 0.0000 0.5000
Cl: 0.0000 0.0000 0.0847